## Sm3TmAl3 (GGA-PBE)

Data for a relaxed structure of Sm3TmAl3.

Computed properties:
* DFT formation energy: -254 meV/atom

Lattice parameters (Å, degrees): 10.2295 10.5528 6.9602 90.00 90.00 90.00
Last column: nearest neighbours and their distance in Å.
Space group Cmmm (No. 65)
Symmetry-distinct sites (fractional):
Sm: 0.0000 0.2454 0.0000 (multiplicity 4)  6 Al 3.14-3.28, 2 Tm 3.48
Sm: 0.2253 0.0000 0.5000 (multiplicity 4)  6 Al 3.12-3.23, 2 Sm 3.49
Sm: 0.2494 0.0000 0.0000 (multiplicity 4)  6 Al 3.18-3.21, 2 Sm 3.49
Tm: 0.0000 0.2543 0.5000 (multiplicity 4)  6 Al 3.04-3.05
Al: 0.0000 0.5000 0.2701 (multiplicity 4)  2 Tm 3.05, 6 Sm 3.18-3.28, 1 Al 3.20
Al: 0.2500 0.2500 0.2629 (multiplicity 8)  2 Tm 3.04, 6 Sm 3.12-3.21, 1 Al 3.30

=====

## Sm2TmAl (GGA-PBE)

Data for a relaxed structure of Sm2TmAl.

Computed properties:
* energy relative to the lowest polymorph listed for this composition: 0 meV/atom
* DFT formation energy: -184 meV/atom

Lattice parameters (Å, degrees): 5.3126 6.9012 12.0263 90.00 90.00 90.00
Last column: nearest neighbours and their distance in Å.
Space group Amm2 (No. 38)
Symmetry-distinct sites (fractional):
Sm: 0.0000 0.0000 0.0000 (multiplicity 2)  4 Al 3.26-3.45, 2 Sm 3.27, 4 Tm 3.40
Sm: 0.0000 0.2342 0.2362 (multiplicity 4)  4 Sm 3.23-3.40, 4 Al 3.25-3.52, 2 Tm 3.38
Sm: 0.5000 0.0000 0.6471 (multiplicity 2)  4 Tm 3.28-3.65, 4 Al 3.29-3.45, 4 Sm 3.40
Tm: 0.5000 0.2359 0.4101 (multiplicity 4)  4 Al 3.25-3.49, 1 Tm 3.26, 5 Sm 3.28-3.40
Al: 0.0000 0.0000 0.4861 (multiplicity 2)  4 Tm 3.25, 8 Sm 3.29-3.52
Al: 0.5000 0.0000 0.1578 (multiplicity 2)  8 Sm 3.25-3.45, 4 Tm 3.44-3.49

=====

## Sm6TmAl2 (GGA-PBE)

Data for a relaxed structure of Sm6TmAl2.

Computed properties:
* DFT formation energy: -147 meV/atom

Lattice parameters (Å, degrees): 12.7432 3.7385 11.9025 90.00 109.28 90.00
Last column: nearest neighbours and their distance in Å.
Space group C2/m (No. 12)
Symmetry-distinct sites (fractional):
Sm: 0.0259 0.0000 0.3258 (multiplicity 4)  2 Al 3.15, 3 Sm 3.43-3.50
Sm: 0.1846 0.5000 0.8772 (multiplicity 4)  2 Al 3.17, 5 Sm 3.41-3.50
Sm: 0.1891 0.5000 0.5913 (multiplicity 4)  2 Al 3.29, 6 Sm 3.42-3.67
Tm: 0.0000 0.0000 0.0000 (multiplicity 2)  4 Al 3.09
Al: 0.1474 0.5000 0.1952 (multiplicity 4)  2 Tm 3.09, 6 Sm 3.15-3.29

=====

## Sm15Tm4Al (GGA-PBE)

Data for a relaxed structure of Sm15Tm4Al.

Computed properties:
* DFT formation energy: -12 meV/atom

Lattice parameters (Å, degrees): 5.0250 5.0250 25.2955 90.00 90.00 90.00
Last column: nearest neighbours and their distance in Å.
Space group P4/mmm (No. 123)
Symmetry-distinct sites (fractional):
Sm: 0.0000 0.0000 0.0000 (multiplicity 1)  8 Sm 3.46, 4 Al 3.55
Sm: 0.0000 0.0000 0.1951 (multiplicity 2)  4 Tm 3.55, 8 Sm 3.58-3.60
Sm: 0.0000 0.0000 0.3981 (multiplicity 2)  4 Tm 3.55, 8 Sm 3.59-3.60
Sm: 0.0000 0.5000 0.0940 (multiplicity 4)  2 Al 3.46, 8 Sm 3.46-3.58, 2 Tm 3.60
Sm: 0.0000 0.5000 0.2969 (multiplicity 4)  8 Sm 3.55-3.60, 4 Tm 3.58-3.60
Sm: 0.0000 0.5000 0.5000 (multiplicity 2)  8 Sm 3.55-3.60, 4 Tm 3.59
Tm: 0.5000 0.5000 0.1961 (multiplicity 2)  12 Sm 3.55-3.60
Tm: 0.5000 0.5000 0.3988 (multiplicity 2)  12 Sm 3.55-3.60
Al: 0.5000 0.5000 0.0000 (multiplicity 1)  12 Sm 3.46-3.55

=====

| no. | total energy (eV/f.u.) |
| --- | --- |
| 1 | -31.6 |
| 2 | -18.4 |
| 3 | -41.6 |
| 4 | -92.7 |